# LiLa2PaS6 PBE-GGA relaxed
# * formation energy (no corrections): -1869 meV per atom
# * calculated density: 4.87 Mg/m³
# * SG: P2_1/c, No. 14
data_LiLa2PaS6
_space_group_name_H-M_alt 'P 1'
_space_group_IT_number 1
_cell_length_a 6.731
_cell_length_b 7.316
_cell_length_c 9.827
_cell_angle_alpha 90.00
_cell_angle_beta 86.82
_cell_angle_gamma 90.00
loop_
_space_group_symop_operation_xyz
'x,y,z'
loop_
_atom_site_label
_atom_site_type_symbol
_atom_site_fract_x
_atom_site_fract_y
_atom_site_fract_z
S1 S 0.816 0.813 0.560
La1 La 0.961 0.091 0.742
La2 La 0.461 0.409 0.242
Pa1 Pa 0.000 0.500 0.000
S2 S 0.316 0.687 0.060
S3 S 0.682 0.305 0.570
S4 S 0.136 0.454 0.747
S5 S 0.684 0.313 0.940
S6 S 0.182 0.195 0.070
Li1 Li 0.500 0.000 0.000
S7 S 0.184 0.187 0.440
S8 S 0.818 0.805 0.930
S9 S 0.636 0.046 0.247
La3 La 0.039 0.909 0.258
S10 S 0.864 0.546 0.253
La4 La 0.539 0.591 0.758
S11 S 0.364 0.954 0.753
Li2 Li 0.000 0.500 0.500
S12 S 0.318 0.695 0.430
Pa2 Pa 0.500 0.000 0.500

# Li3ErPt3 PBE-GGA relaxed
# * formation energy from the elements: 32 meV/atom
# * calculated density: 10.04 Mg/m³
# * SG: Pm-3n, No. 223
data_Li3ErPt3
_space_group_name_H-M_alt 'P 1'
_space_group_IT_number 1
_cell_length_a 6.349
_cell_length_b 6.349
_cell_length_c 6.349
_cell_angle_alpha 90.00
_cell_angle_beta 90.00
_cell_angle_gamma 90.00
loop_
_space_group_symop_operation_xyz
'x,y,z'
loop_
_atom_site_label
_atom_site_type_symbol
_atom_site_fract_x
_atom_site_fract_y
_atom_site_fract_z
Li1 Li 0.250 0.500 0.000
Li2 Li 0.750 0.500 0.000
Pt1 Pt 0.500 0.750 0.000
Li3 Li 0.000 0.750 0.500
Li4 Li 0.500 0.000 0.750
Pt2 Pt 0.000 0.500 0.750
Er1 Er 0.500 0.500 0.500
Pt3 Pt 0.500 0.250 0.000
Li5 Li 0.000 0.250 0.500
Li6 Li 0.500 0.000 0.250
Pt4 Pt 0.750 0.000 0.500
Pt5 Pt 0.250 0.000 0.500
Pt6 Pt 0.000 0.500 0.250
Er2 Er 0.000 0.000 0.000

# Mn2AgAs PBE-GGA relaxed
# * formation energy from the elements: 262 meV/atom
# * calculated density: 7.25 Mg/m³
# * SG: R-3m, No. 166
data_Mn2AgAs
_space_group_name_H-M_alt 'P 1'
_space_group_IT_number 1
_cell_length_a 7.645
_cell_length_b 7.645
_cell_length_c 7.645
_cell_angle_alpha 24.40
_cell_angle_beta 24.40
_cell_angle_gamma 24.40
loop_
_space_group_symop_operation_xyz
'x,y,z'
loop_
_atom_site_label
_atom_site_type_symbol
_atom_site_fract_x
_atom_site_fract_y
_atom_site_fract_z
As1 As 0.750 0.750 0.750
Ag1 Ag 0.250 0.250 0.250
Mn1 Mn 0.010 0.010 0.010
Mn2 Mn 0.490 0.490 0.490

# Pu2Sb4Pd3Au PBE-GGA relaxed
# * formation energy (no corrections): -494 meV per atom
# * calculated density: 10.69 Mg/m³
# * SG: P-4m2, No. 115
data_Pu2Sb4Pd3Au
_space_group_name_H-M_alt 'P 1'
_space_group_IT_number 1
_cell_length_a 4.657
_cell_length_b 4.657
_cell_length_c 10.678
_cell_angle_alpha 90.00
_cell_angle_beta 90.00
_cell_angle_gamma 90.00
loop_
_space_group_symop_operation_xyz
'x,y,z'
loop_
_atom_site_label
_atom_site_type_symbol
_atom_site_fract_x
_atom_site_fract_y
_atom_site_fract_z
Pu1 Pu 0.500 0.000 0.251
Sb1 Sb 0.000 0.000 0.000
Pd1 Pd 0.500 0.000 0.876
Sb2 Sb 0.000 0.500 0.363
Sb3 Sb 0.500 0.000 0.637
Pu2 Pu 0.000 0.500 0.749
Pd2 Pd 0.000 0.000 0.500
Au1 Au 0.500 0.500 0.500
Pd3 Pd 0.000 0.500 0.124
Sb4 Sb 0.500 0.500 0.000

# Sr2LiSm PBE-GGA relaxed
# * formation energy from the elements: 330 meV/atom
# * distance to the lowest polymorph of the same formula: 0.186 eV/atom
# * calculated density: 3.38 Mg/m³
# * SG: R-3m, No. 166
data_Sr2LiSm
_space_group_name_H-M_alt 'P 1'
_space_group_IT_number 1
_cell_length_a 3.798
_cell_length_b 3.798
_cell_length_c 13.274
_cell_angle_alpha 81.78
_cell_angle_beta 81.78
_cell_angle_gamma 60.00
loop_
_space_group_symop_operation_xyz
'x,y,z'
loop_
_atom_site_label
_atom_site_type_symbol
_atom_site_fract_x
_atom_site_fract_y
_atom_site_fract_z
Li1 Li 0.500 0.500 0.500
Sm1 Sm 0.000 0.000 0.000
Sr1 Sr 0.908 0.908 0.276
Sr2 Sr 0.092 0.092 0.724

# ThU3N4 PBE-GGA relaxed
# * formation energy (no corrections): -1320 meV per atom
# * calculated density: 13.75 Mg/m³
# * SG: Pm-3m, No. 221
data_ThU3N4
_space_group_name_H-M_alt 'P 1'
_space_group_IT_number 1
_cell_length_a 4.946
_cell_length_b 4.946
_cell_length_c 4.946
_cell_angle_alpha 90.00
_cell_angle_beta 90.00
_cell_angle_gamma 90.00
loop_
_space_group_symop_operation_xyz
'x,y,z'
loop_
_atom_site_label
_atom_site_type_symbol
_atom_site_fract_x
_atom_site_fract_y
_atom_site_fract_z
N1 N 0.500 0.500 0.500
U1 U 0.000 0.500 0.500
N2 N 0.000 0.500 0.000
N3 N 0.500 0.000 0.000
Th1 Th 0.000 0.000 0.000
U2 U 0.500 0.000 0.500
N4 N 0.000 0.000 0.500
U3 U 0.500 0.500 0.000

# KCeSb2 PBE-GGA relaxed
# * formation energy (no corrections): -658 meV per atom
# * distance to the lowest polymorph of the same formula: 0.000 eV/atom
# * calculated density: 5.21 Mg/m³
# * SG: P4/mmm, No. 123
data_KCeSb2
_space_group_name_H-M_alt 'P 1'
_space_group_IT_number 1
_cell_length_a 4.197
_cell_length_b 4.197
_cell_length_c 7.650
_cell_angle_alpha 90.00
_cell_angle_beta 90.00
_cell_angle_gamma 90.00
loop_
_space_group_symop_operation_xyz
'x,y,z'
loop_
_atom_site_label
_atom_site_type_symbol
_atom_site_fract_x
_atom_site_fract_y
_atom_site_fract_z
Sb1 Sb 0.000 0.000 0.193
Sb2 Sb 0.000 0.000 0.807
K1 K 0.500 0.500 0.500
Ce1 Ce 0.500 0.500 0.000

# Pa5Mn6Re PBE-GGA relaxed
# * formation energy from the elements: 4 meV/atom
# * calculated density: 13.73 Mg/m³
# * SG: C2/m, No. 12
data_Pa5Mn6Re
_space_group_name_H-M_alt 'P 1'
_space_group_IT_number 1
_cell_length_a 4.158
_cell_length_b 7.654
_cell_length_c 8.480
_cell_angle_alpha 63.18
_cell_angle_beta 75.79
_cell_angle_gamma 57.02
loop_
_space_group_symop_operation_xyz
'x,y,z'
loop_
_atom_site_label
_atom_site_type_symbol
_atom_site_fract_x
_atom_site_fract_y
_atom_site_fract_z
Mn1 Mn 0.748 0.384 0.737
Pa1 Pa 0.000 0.311 0.378
Pa2 Pa 0.500 0.171 0.658
Pa3 Pa 0.500 0.500 0.000
Mn2 Mn 0.252 0.880 0.737
Mn3 Mn 0.277 0.223 0.000
Re1 Re 0.000 0.000 0.000
Mn4 Mn 0.723 0.777 0.000
Mn5 Mn 0.252 0.616 0.263
Pa4 Pa 0.000 0.689 0.622
Pa5 Pa 0.500 0.829 0.342
Mn6 Mn 0.748 0.120 0.263

# La2ZnSiH PBE-GGA relaxed
# * calculated density: 6.00 Mg/m³
# * SG: P4/mmm, No. 123
data_La2ZnSiH
_space_group_name_H-M_alt 'P 1'
_space_group_IT_number 1
_cell_length_a 4.982
_cell_length_b 4.982
_cell_length_c 4.152
_cell_angle_alpha 90.00
_cell_angle_beta 90.00
_cell_angle_gamma 90.00
loop_
_space_group_symop_operation_xyz
'x,y,z'
loop_
_atom_site_label
_atom_site_type_symbol
_atom_site_fract_x
_atom_site_fract_y
_atom_site_fract_z
La1 La 0.000 0.500 0.000
H1 H 0.000 0.000 0.000
Si1 Si 0.500 0.500 0.500
Zn1 Zn 0.000 0.000 0.500
La2 La 0.500 0.000 0.000

# Mg2Bi PBE-GGA relaxed
# * formation energy from the elements: -42 meV/atom
# * calculated density: 5.46 Mg/m³
# * SG: I4/mmm, No. 139
data_Mg2Bi
_space_group_name_H-M_alt 'P 1'
_space_group_IT_number 1
_cell_length_a 3.382
_cell_length_b 3.382
_cell_length_c 7.260
_cell_angle_alpha 103.47
_cell_angle_beta 103.47
_cell_angle_gamma 90.00
loop_
_space_group_symop_operation_xyz
'x,y,z'
loop_
_atom_site_label
_atom_site_type_symbol
_atom_site_fract_x
_atom_site_fract_y
_atom_site_fract_z
Mg1 Mg 0.327 0.327 0.655
Bi1 Bi 0.000 0.000 0.000
Mg2 Mg 0.673 0.673 0.345

# CrP2PdCl PBE-GGA relaxed
# * formation energy (no corrections): 417 meV per atom
# * distance to the lowest polymorph of the same formula: 0.000 eV/atom
# * calculated density: 4.58 Mg/m³
# * SG: P4/mmm, No. 123
data_CrP2PdCl
_space_group_name_H-M_alt 'P 1'
_space_group_IT_number 1
_cell_length_a 4.370
_cell_length_b 4.370
_cell_length_c 4.853
_cell_angle_alpha 90.00
_cell_angle_beta 90.00
_cell_angle_gamma 90.00
loop_
_space_group_symop_operation_xyz
'x,y,z'
loop_
_atom_site_label
_atom_site_type_symbol
_atom_site_fract_x
_atom_site_fract_y
_atom_site_fract_z
Cr1 Cr 0.000 0.000 0.000
P1 P 0.500 0.000 0.000
Pd1 Pd 0.500 0.500 0.500
P2 P 0.000 0.500 0.000
Cl1 Cl 0.000 0.000 0.500

# Rb3SrO PBE-GGA relaxed
# * formation energy (no corrections): -261 meV per atom
# * calculated density: 2.63 Mg/m³
# * SG: Pm-3m, No. 221
data_Rb3SrO
_space_group_name_H-M_alt 'P 1'
_space_group_IT_number 1
_cell_length_a 6.104
_cell_length_b 6.104
_cell_length_c 6.104
_cell_angle_alpha 90.00
_cell_angle_beta 90.00
_cell_angle_gamma 90.00
loop_
_space_group_symop_operation_xyz
'x,y,z'
loop_
_atom_site_label
_atom_site_type_symbol
_atom_site_fract_x
_atom_site_fract_y
_atom_site_fract_z
Rb1 Rb 0.500 0.000 0.000
Rb2 Rb 0.000 0.500 0.000
Sr1 Sr 0.500 0.500 0.500
Rb3 Rb 0.000 0.000 0.500
O1 O 0.000 0.000 0.000

no.,DOS(E_F) (states/eV/f.u.),E (eV/atom),V (Å³/f.u.)
1,0.0,-6.472,241.6
2,2.8,-4.029,128.0
3,3.0,-6.198,67.0
4,30.9,-6.895,231.6
5,5.2,-2.169,163.5
6,11.2,-10.643,121.0
7,5.5,-4.477,134.8
8,15.3,-9.575,202.0
9,2.9,-4.386,103.1
10,1.2,-2.398,78.4
11,3.0,-5.080,92.7
12,3.4,-2.169,227.5